[1]
Here is Mn3TlAs after structural relaxation from the Alexandria database. Energies are from GGA-PBE.

```
Mn3TlAs
1.0
-1.2545 -3.9808 2.8823
4.8136 -0.3948 1.5498
-0.9919 3.1186 3.8754
Tl Mn As
1 3 1
Cartesian
0.0000 0.0000 0.0000
2.4068 -0.1974 0.7749
-0.4960 1.5593 1.9377
-0.6272 -1.9904 1.4412
1.2836 -0.6285 4.1537
```

Crystal system = cubic
Formation energy = 123.7 kJ per mole of atoms

[2]
Here is Pr8Nd4Ho after structural relaxation from the Alexandria database. Energies are from GGA-PBE.

```
Pr8Nd4Ho
1.0
10.5189 -0.0008 -5.6752
-6.7899 9.8363 -0.0005
-2.9664 -2.0473 7.0881
Pr Nd Ho
8 4 1
Cartesian
-0.5347 6.8925 -0.9921
1.2973 0.8956 2.4044
2.3776 1.6411 -1.8725
-3.4836 1.2184 6.1289
-1.6150 6.1470 3.2848
-6.8861 6.1474 6.1286
7.6487 1.6407 -4.7163
4.2462 6.5697 -4.7166
0.0000 0.0000 0.0000
-3.3950 4.9181 -0.0003
1.8645 4.9177 -2.8379
5.2595 -0.0004 -2.8376
-4.8782 3.8945 3.5438
```

Crystal system = trigonal
Formation energy = 37.3 kJ per mole of atoms

[3]
Here is HoTmBeAg after structural relaxation from the Alexandria database. Energies are from GGA-PBE.

```
HoTmBeAg
1.0
-0.6662 3.8338 3.0831
0.2169 -0.6969 4.9107
3.8335 1.7940 2.5948
Be Tm Ho Ag
1 1 1 1
Cartesian
2.5382 3.6981 7.9415
0.0000 0.0000 0.0000
1.6921 2.4654 5.2943
0.8461 1.2327 2.6472
```

Crystal system = cubic
Formation energy = -7.5 kJ per mole of atoms

[4]
Here is TcBI2O after structural relaxation from the Alexandria database. Energies are from GGA-PBE.

```
TcBI2O
1.0
-5.2147 -0.6739 -1.7903
-1.6481 -1.0560 5.1981
-0.6543 3.6465 0.5333
I B Tc O
2 1 1 1
Cartesian
-0.8241 -0.5280 2.5991
-2.6073 -0.3369 -0.8951
-3.7585 0.9583 1.9706
0.0000 0.0000 0.0000
-0.3272 1.8232 0.2667
```

Crystal system = tetragonal
ΔE_f (raw) = 0.60 eV/atom

[5]
Here is Na2NbBiRu after structural relaxation from the Alexandria database. Energies are from GGA-PBE.

```
Na2NbBiRu
1.0
-0.7792 -3.9561 2.9362
5.0065 -0.1561 1.1183
-0.7727 3.0340 3.8829
Ru Nb Bi Na
1 1 1 2
Cartesian
0.0000 0.0000 0.0000
1.7273 -0.5391 3.9687
2.5033 -0.0781 0.5592
-0.3864 1.5170 1.9414
-0.3896 -1.9780 1.4681
```

Crystal system = tetragonal
Formation energy = 136.8 kJ per mole of atoms

[6]
Here is YAlP2 after structural relaxation from the Alexandria database. Energies are from GGA-PBE.

```
YAlP2
1.0
-2.3781 0.0928 -2.6696
-2.1161 -2.2487 1.8045
-2.5736 4.3837 2.4449
Y P Al
1 2 1
Cartesian
-2.8905 0.0179 0.1787
-2.4876 4.2371 2.3632
-1.3729 2.3385 1.3042
-4.1773 2.2098 1.4012
```

Crystal system = tetragonal
Formation energy = -48.8 kJ per mole of atoms

[7]
Here is EuNpSb2 after structural relaxation from the Alexandria database. Energies are from GGA-PBE.

```
EuNpSb2
1.0
5.4227 0.0000 0.0000
2.7114 4.6962 0.0000
2.7114 1.5654 4.4276
Np Eu Sb
1 1 2
Cartesian
5.4227 3.1308 2.2138
0.0000 0.0000 0.0000
2.7114 1.5654 1.1069
8.1341 4.6962 3.3207
```

Crystal system = cubic
ΔE_f (raw) = -0.43 eV/atom

[8]
Here is Hf5Ir2Pt2 after structural relaxation from the Alexandria database. Energies are from GGA-PBE.

```
Hf5Ir2Pt2
1.0
6.7925 0.0000 0.0000
0.0000 5.9835 -3.0759
0.0000 0.5104 8.3505
Hf Ir Pt
10 4 4
Cartesian
0.0000 0.0000 0.0000
3.3962 2.9917 -1.5380
5.5820 5.0750 -0.1315
1.2105 2.9231 0.9747
2.1857 5.9149 -0.5632
4.6068 2.0833 1.4065
1.2105 1.4188 5.4061
5.5820 3.5707 4.2999
4.6068 0.5790 5.8379
2.1857 4.4106 3.8682
0.0000 1.5150 2.9471
3.3962 4.5067 1.4091
0.0000 4.9789 2.3275
3.3962 1.9871 3.8655
4.3291 5.1652 -2.6553
2.4634 0.8183 -0.4206
0.9328 3.8100 -1.9586
5.8597 2.1735 -1.1173
```

Crystal system = orthorhombic
Formation energy = -85.6 kJ per mole of atoms

Per-record calculated volume, Å³ per atom: 26.1; 37.6; 21.6; 23.1; 25.5; 18.0; 28.2; 19.4
Per-record total magnetization, Bohr magnetons per cell: 13.0; 0.0; 0.0; 0.0; 0.0; 0.0; 10.8; 0.0
Per-record total energy, Ry per atom: -0.4133; -0.3214; -0.2929; -0.3246; -0.2760; -0.4236; -0.6094; -0.7150